No. 1
First-principles (GGA-PBE) data for crystalline NaBi6Pd12 at its relaxed geometry, as listed in Alexandria.

abc: 7.7443 7.7443 7.7443
angles: 104.42 104.42 104.42
Last column: nearest neighbours and their distance in Å.
Element x y z (fractional)
1 Na 0.0000 0.0000 0.0000  6 Pd 3.18
2 Bi 0.2693 0.2693 0.6859  6 Pd 2.76-2.82
3 Bi 0.2693 0.6859 0.2693  6 Pd 2.76-2.82
4 Bi 0.3141 0.7307 0.7307  6 Pd 2.76-2.82
5 Bi 0.6859 0.2693 0.2693  6 Pd 2.76-2.82
6 Bi 0.7307 0.3141 0.7307  6 Pd 2.76-2.82
7 Bi 0.7307 0.7307 0.3141  6 Pd 2.76-2.82
8 Pd 0.1153 0.5000 0.8847  4 Bi 2.76, 3 Pd 2.82-2.91
9 Pd 0.1153 0.8847 0.5000  4 Bi 2.76, 3 Pd 2.82-2.91
10 Pd 0.1235 0.3635 0.3635  3 Bi 2.82-3.13, 4 Pd 2.91-2.94
11 Pd 0.3635 0.1235 0.3635  3 Bi 2.82-3.13, 4 Pd 2.91-2.94
12 Pd 0.3635 0.3635 0.1235  3 Bi 2.82-3.13, 4 Pd 2.91-2.94
13 Pd 0.5000 0.1153 0.8847  4 Bi 2.76, 3 Pd 2.82-2.91
14 Pd 0.5000 0.8847 0.1153  4 Bi 2.76, 3 Pd 2.82-2.91
15 Pd 0.6365 0.6365 0.8765  3 Bi 2.82-3.13, 4 Pd 2.91-2.94
16 Pd 0.6365 0.8765 0.6365  3 Bi 2.82-3.13, 4 Pd 2.91-2.94
17 Pd 0.8765 0.6365 0.6365  3 Bi 2.82-3.13, 4 Pd 2.91-2.94
18 Pd 0.8847 0.1153 0.5000  4 Bi 2.76, 3 Pd 2.82-2.91
19 Pd 0.8847 0.5000 0.1153  4 Bi 2.76, 3 Pd 2.82-2.91

Summary:
**Space-group type**: R-3m, No. 166
**E**: -4.689 eV per atom
**N(E_F)**: 6.00 states/eV/cell


No. 2
First-principles (GGA-PBE) data for crystalline Na2Bi4Pd at its relaxed geometry, as listed in Alexandria.

abc: 9.2093 9.2093 9.2093
angles: 145.87 145.87 49.04
Last column: nearest neighbours and their distance in Å.
Element x y z (fractional)
1 Na 0.1437 0.1437 0.0000  5 Bi 3.26-3.62
2 Na 0.8563 0.8563 0.0000  5 Bi 3.26-3.62
3 Bi 0.0000 0.5000 0.5000  2 Pd 2.70
4 Bi 0.3384 0.3384 0.0000  1 Pd 2.71
5 Bi 0.5000 0.0000 0.5000  2 Pd 2.70
6 Bi 0.6616 0.6616 0.0000  1 Pd 2.71
7 Pd 0.5000 0.5000 0.0000  6 Bi 2.70-2.71

Summary:
**Space-group type**: I4/mmm, No. 139
**E**: -3.282 eV per atom
**N(E_F)**: 4.47 states/eV/cell


No. 3
First-principles (GGA-PBE) data for crystalline NaBi2Pd7 at its relaxed geometry, as listed in Alexandria.

abc: 7.9706 7.9706 4.2666
angles: 90.00 90.00 124.89
Last column: nearest neighbours and their distance in Å.
Element x y z (fractional)
1 Na 0.0000 0.0000 0.0000  10 Pd 2.71-2.92
2 Bi 0.3041 0.6959 0.5000  5 Pd 2.66-2.77
3 Bi 0.6959 0.3041 0.5000  5 Pd 2.66-2.77
4 Pd 0.0805 0.2872 0.5000  1 Bi 2.67, 5 Pd 2.71-2.92, 2 Na 2.92
5 Pd 0.1919 0.8081 0.0000  2 Bi 2.66, 1 Na 2.71, 4 Pd 2.82
6 Pd 0.2872 0.0805 0.5000  1 Bi 2.67, 5 Pd 2.71-2.92, 2 Na 2.92
7 Pd 0.5000 0.5000 0.5000  4 Pd 2.75, 2 Bi 2.77
8 Pd 0.7128 0.9195 0.5000  1 Bi 2.67, 5 Pd 2.71-2.92, 2 Na 2.92
9 Pd 0.8081 0.1919 0.0000  2 Bi 2.66, 1 Na 2.71, 4 Pd 2.82
10 Pd 0.9195 0.7128 0.5000  1 Bi 2.67, 5 Pd 2.71-2.92, 2 Na 2.92

Summary:
**Space-group type**: Cmmm, No. 65
**E**: -4.432 eV per atom
**N(E_F)**: 6.58 states/eV/cell


No. 4
First-principles (GGA-PBE) data for crystalline NaBi2Pd at its relaxed geometry, as listed in Alexandria.

abc: 16.3584 8.3500 6.1453
angles: 90.00 90.00 90.00
Last column: nearest neighbours and their distance in Å.
Element x y z (fractional)
1 Na 0.1138 0.2500 0.2341  3 Pd 3.18-3.43, 6 Bi 3.41-3.57
2 Na 0.1409 0.7500 0.0189  3 Pd 3.23-3.37, 6 Bi 3.41-3.60
3 Na 0.3591 0.2500 0.5189  3 Pd 3.23-3.37, 6 Bi 3.41-3.60
4 Na 0.3862 0.7500 0.7341  3 Pd 3.18-3.43, 6 Bi 3.41-3.57
5 Na 0.6138 0.2500 0.2659  3 Pd 3.18-3.43, 6 Bi 3.41-3.57
6 Na 0.6409 0.7500 0.4811  3 Pd 3.23-3.37, 6 Bi 3.41-3.60
7 Na 0.8591 0.2500 0.9811  3 Pd 3.23-3.37, 6 Bi 3.41-3.60
8 Na 0.8862 0.7500 0.7659  3 Pd 3.18-3.43, 6 Bi 3.41-3.57
9 Bi 0.0323 0.0445 0.7500  3 Pd 2.84-2.94
10 Bi 0.0323 0.4555 0.7500  3 Pd 2.84-2.94
11 Bi 0.2156 0.5458 0.5027  3 Pd 2.89-3.01
12 Bi 0.2156 0.9542 0.5027  3 Pd 2.89-3.01
13 Bi 0.2844 0.0458 0.0027  3 Pd 2.89-3.01
14 Bi 0.2844 0.4542 0.0027  3 Pd 2.89-3.01
15 Bi 0.4677 0.5445 0.2500  3 Pd 2.84-2.94
16 Bi 0.4677 0.9555 0.2500  3 Pd 2.84-2.94
17 Bi 0.5323 0.0445 0.7500  3 Pd 2.84-2.94
18 Bi 0.5323 0.4555 0.7500  3 Pd 2.84-2.94
19 Bi 0.7156 0.5458 0.9973  3 Pd 2.89-3.01
20 Bi 0.7156 0.9542 0.9973  3 Pd 2.89-3.01
21 Bi 0.7844 0.0458 0.4973  3 Pd 2.89-3.01
22 Bi 0.7844 0.4542 0.4973  3 Pd 2.89-3.01
23 Bi 0.9677 0.5445 0.2500  3 Pd 2.84-2.94
24 Bi 0.9677 0.9555 0.2500  3 Pd 2.84-2.94
25 Pd 0.0728 0.7500 0.5117  6 Bi 2.89-2.94, 1 Na 3.23
26 Pd 0.1703 0.2500 0.7382  6 Bi 2.84-3.01
27 Pd 0.3297 0.7500 0.2382  6 Bi 2.84-3.01
28 Pd 0.4272 0.2500 0.0117  6 Bi 2.89-2.94, 1 Na 3.23
29 Pd 0.5728 0.7500 0.9883  6 Bi 2.89-2.94, 1 Na 3.23
30 Pd 0.6703 0.2500 0.7618  6 Bi 2.84-3.01
31 Pd 0.8297 0.7500 0.2618  6 Bi 2.84-3.01
32 Pd 0.9272 0.2500 0.4883  6 Bi 2.89-2.94, 1 Na 3.23

Summary:
**ΔE to the lowest computed polymorph**: 22 meV/atom
**Space-group type**: Pnma, No. 62
**E**: -3.860 eV per atom
**N(E_F)**: 13.40 states/eV/cell